The following is a PBE calculation of Pr3AlI3 after structural relaxation, from the Alexandria database.

Cell lengths 11.012, 11.012, 11.012 Å; angles 109.47, 109.47, 109.47 degrees
Fractional positions:
Pr 0.011 0.023 0.261
Pr 0.011 0.489 0.750
Pr 0.023 0.261 0.011
Pr 0.239 0.261 0.750
Pr 0.239 0.477 0.489
Pr 0.261 0.011 0.023
Pr 0.261 0.750 0.239
Pr 0.477 0.489 0.239
Pr 0.489 0.239 0.477
Pr 0.489 0.750 0.011
Pr 0.750 0.011 0.489
Pr 0.750 0.239 0.261
Al 0.000 0.250 0.500
Al 0.250 0.250 0.250
Al 0.250 0.500 0.000
Al 0.500 0.000 0.250
I 0.250 0.757 0.743
I 0.250 0.993 0.507
I 0.507 0.250 0.993
I 0.507 0.757 0.515
I 0.515 0.507 0.757
I 0.743 0.250 0.757
I 0.743 0.993 0.985
I 0.757 0.515 0.507
I 0.757 0.743 0.250
I 0.985 0.743 0.993
I 0.993 0.507 0.250
I 0.993 0.985 0.743

Calculated values
V   1027.9 Å³ per cell
Space-group type   I4_132 (214)
Spin magnetization   0.00 μB/atom
Raw formation energy   -0.981 eV/atom

***

The following is a PBE calculation of PrAl2I8 after structural relaxation, from the Alexandria database.

Cell lengths 9.133, 9.133, 7.379 Å; angles 97.40, 97.40, 75.86 degrees
Fractional positions:
Pr 0.000 0.000 0.000
Al 0.198 0.198 0.657
Al 0.802 0.802 0.343
I 0.076 0.717 0.236
I 0.192 0.192 0.295
I 0.283 0.924 0.764
I 0.369 0.369 0.801
I 0.631 0.631 0.199
I 0.717 0.076 0.236
I 0.808 0.808 0.705
I 0.924 0.283 0.764

Calculated values
V   588.8 Å³ per cell
Space-group type   C2/m (12)
Spin magnetization   0.08 μB/atom
Raw formation energy   -0.814 eV/atom

***

The following is a PBE calculation of Pr2AlI after structural relaxation, from the Alexandria database.

Cell lengths 8.246, 8.246, 8.246 Å; angles 30.81, 30.81, 30.81 degrees
Fractional positions:
Pr 0.240 0.240 0.240
Pr 0.760 0.760 0.760
Al 0.500 0.500 0.500
I 0.000 0.000 0.000

Calculated values
V   130.4 Å³ per cell
Space-group type   R-3m (166)
Spin magnetization   0.00 μB/atom
Raw formation energy   -0.585 eV/atom

***

The following is a PBE calculation of Pr2AlI after structural relaxation, from the Alexandria database.

Cell lengths 3.685, 3.685, 8.703 Å; angles 90.00, 90.00, 90.00 degrees
Fractional positions:
Pr 0.000 0.000 0.224
Pr 0.000 0.000 0.776
Al 0.500 0.500 0.000
I 0.500 0.500 0.500

Calculated values
V   118.2 Å³ per cell
Space-group type   P4/mmm (123)
Spin magnetization   0.00 μB/atom
Raw formation energy   -0.594 eV/atom

***

Which value of V does entry 4 give?
118.2 Å³ per cell

***

Repeat the third record exactly.
The following is a PBE calculation of Pr2AlI after structural relaxation, from the Alexandria database.

Cell lengths 8.246, 8.246, 8.246 Å; angles 30.81, 30.81, 30.81 degrees
Fractional positions:
Pr 0.240 0.240 0.240
Pr 0.760 0.760 0.760
Al 0.500 0.500 0.500
I 0.000 0.000 0.000

Calculated values
V   130.4 Å³ per cell
Space-group type   R-3m (166)
Spin magnetization   0.00 μB/atom
Raw formation energy   -0.585 eV/atom

***

The lowest raw formation energy belongs to which entry?
Pr3AlI3